{
  "formula": "TbErTm2",
  "functional": "PBE",
  "state": "optimized geometry",
  "lattice": [[-1.792, 5.561, 3.098], [1.792, -5.561, 3.098], [1.792, 5.561, -3.098]],
  "species": ["Tb", "Er", "Tm", "Tm"],
  "fractional_positions": [[0.000, 0.000, 0.000], [0.499, 0.999, 0.500], [0.417, 0.666, 0.751], [0.916, 0.666, 0.249]],
  "density_g_cm3": 8.93,
  "delta_e_f_ev_per_atom": 0.002,
  "vol_a3_per_atom": 30.9
}